Record 1
Crystalline MgTcBr2 at its relaxed geometry, computed with PBE.

Computed properties:
The calculation puts the total magnetization at 0.86 μB per formula unit. For the theoretical density, the calculation gives 4500 kg/m3. For the distance to the lowest polymorph of the same formula, the calculation gives 372.3 meV/atom. As for the calculated total energy: -3.61 eV per atom. The uncorrected formation energy comes out at 0.216 eV/atom. For the calculated volume, the calculation gives 104.1 Å³ per cell.

Lattice parameters (Å, degrees): 9.769 9.769 9.769 20.92 20.92 20.92
Site moments in Bohr magnetons follow the coordinates.
Fractional coordinates of all 4 atoms:
Mg: 0.000 0.000 0.000  0.00
Tc: 0.500 0.500 0.500  0.81
Br: 0.888 0.888 0.888  -0.01
Br: 0.112 0.112 0.112  -0.01

---

Record 2
Crystalline MgTcBr2 at its relaxed geometry, computed with PBE.

Computed properties:
The calculation puts the total magnetization at 2.06 μB per formula unit. For the theoretical density, the calculation gives 5261 kg/m3. For the distance to the lowest polymorph of the same formula, the calculation gives 380.6 meV/atom. As for the calculated total energy: -3.60 eV per atom. The uncorrected formation energy comes out at 0.224 eV/atom. For the calculated volume, the calculation gives 89.0 Å³ per cell.

Lattice parameters (Å, degrees): 8.781 8.781 8.781 22.78 22.78 22.78
Site moments in Bohr magnetons follow the coordinates.
Fractional coordinates of all 4 atoms:
Mg: 0.500 0.500 0.500  0.00
Tc: 0.000 0.000 0.000  1.78
Br: 0.901 0.901 0.901  0.01
Br: 0.099 0.099 0.099  0.01

---

Record 3
Crystalline MgTcBr2 at its relaxed geometry, computed with PBE.

Computed properties:
The calculation puts the total magnetization at 0.00 μB per formula unit. For the theoretical density, the calculation gives 5192 kg/m3. For the distance to the lowest polymorph of the same formula, the calculation gives 94.1 meV/atom. As for the calculated total energy: -3.89 eV per atom. The uncorrected formation energy comes out at -0.063 eV/atom. For the calculated volume, the calculation gives 90.2 Å³ per cell.

Lattice parameters (Å, degrees): 3.221 3.221 8.695 90.00 90.00 89.98
Fractional coordinates of all 4 atoms:
Br: 0.000 0.000 0.899
Br: 0.500 0.500 0.329
Mg: 0.000 0.000 0.515
Tc: 0.500 0.500 0.757

---

Record 4
Crystalline MgTc2Br at its relaxed geometry, computed with PBE.

Computed properties:
The calculation puts the total magnetization at 0.00 μB per formula unit. For the theoretical density, the calculation gives 6070 kg/m3. For the distance to the lowest polymorph of the same formula, the calculation gives 453.1 meV/atom. As for the calculated total energy: -5.50 eV per atom. The uncorrected formation energy comes out at 0.496 eV/atom. For the calculated volume, the calculation gives 82.1 Å³ per cell.

Lattice parameters (Å, degrees): 5.505 5.505 4.633 97.17 97.17 36.17
Fractional coordinates of all 4 atoms:
Br: 0.750 0.750 0.750
Mg: 0.250 0.250 0.250
Tc: 0.972 0.972 0.084
Tc: 0.528 0.528 0.416

---

Record 5
Crystalline MgTcBr2 at its relaxed geometry, computed with PBE.

Computed properties:
The calculation puts the total magnetization at 0.75 μB per formula unit. For the theoretical density, the calculation gives 4644 kg/m3. For the distance to the lowest polymorph of the same formula, the calculation gives 3.7 meV/atom. As for the calculated total energy: -3.98 eV per atom. The uncorrected formation energy comes out at -0.153 eV/atom. For the calculated volume, the calculation gives 100.9 Å³ per cell.

Lattice parameters (Å, degrees): 3.370 3.775 8.177 75.90 90.00 90.00
Site moments in Bohr magnetons follow the coordinates.
Fractional coordinates of all 4 atoms:
Br: 0.000 0.846 0.915  0.04
Br: 0.500 0.142 0.357  0.00
Mg: 0.000 0.543 0.544  -0.01
Tc: 0.500 0.968 0.685  0.64

---

Record 6
Crystalline MgTc2Br at its relaxed geometry, computed with PBE.

Computed properties:
The calculation puts the total magnetization at 0.00 μB per formula unit. For the theoretical density, the calculation gives 7519 kg/m3. For the distance to the lowest polymorph of the same formula, the calculation gives 715.1 meV/atom. As for the calculated total energy: -5.24 eV per atom. The uncorrected formation energy comes out at 0.758 eV/atom. For the calculated volume, the calculation gives 66.3 Å³ per cell.

Lattice parameters (Å, degrees): 4.721 4.721 4.721 126.13 126.13 79.67
Fractional coordinates of all 4 atoms:
Br: 0.500 0.500 0.000
Mg: 0.750 0.250 0.500
Tc: 0.000 0.000 0.000
Tc: 0.250 0.750 0.500

---

Record 7
Crystalline Mg3TcBr at its relaxed geometry, computed with PBE.

Computed properties:
The calculation puts the total magnetization at 2.12 μB per formula unit. For the theoretical density, the calculation gives 3345 kg/m3. For the distance to the lowest polymorph of the same formula, the calculation gives 294.3 meV/atom. As for the calculated total energy: -2.43 eV per atom. The uncorrected formation energy comes out at 0.930 eV/atom. For the calculated volume, the calculation gives 124.5 Å³ per cell.

Lattice parameters (Å, degrees): 4.994 4.994 4.994 90.00 90.00 90.00
Site moments in Bohr magnetons follow the coordinates.
Fractional coordinates of all 5 atoms:
Mg: 0.000 0.500 0.000  -0.04
Mg: 0.000 0.000 0.500  -0.05
Mg: 0.500 0.000 0.000  -0.03
Tc: 0.500 0.500 0.500  2.47
Br: 0.000 0.000 0.000  -0.07

---

Record 8
Crystalline MgTcBr2 at its relaxed geometry, computed with PBE.

Computed properties:
The calculation puts the total magnetization at 3.49 μB per formula unit. For the theoretical density, the calculation gives 5030 kg/m3. For the distance to the lowest polymorph of the same formula, the calculation gives 847.3 meV/atom. As for the calculated total energy: -3.14 eV per atom. The uncorrected formation energy comes out at 0.691 eV/atom. For the calculated volume, the calculation gives 93.1 Å³ per cell.

Lattice parameters (Å, degrees): 5.088 5.088 5.088 60.00 60.00 60.00
Site moments in Bohr magnetons follow the coordinates.
Fractional coordinates of all 4 atoms:
Br: 0.000 0.000 0.000  0.06
Br: 0.250 0.250 0.250  0.08
Mg: 0.500 0.500 0.500  -0.04
Tc: 0.750 0.750 0.750  2.94

---

Record 9
Crystalline MgTc2Br at its relaxed geometry, computed with PBE.

Computed properties:
The calculation puts the total magnetization at 0.00 μB per formula unit. For the theoretical density, the calculation gives 7856 kg/m3. For the distance to the lowest polymorph of the same formula, the calculation gives 834.3 meV/atom. As for the calculated total energy: -5.12 eV per atom. The uncorrected formation energy comes out at 0.877 eV/atom. For the calculated volume, the calculation gives 63.5 Å³ per cell.

Lattice parameters (Å, degrees): 4.538 4.538 3.081 90.00 90.00 90.00
Fractional coordinates of all 4 atoms:
Br: 0.500 0.000 0.500
Mg: 0.000 0.500 0.500
Tc: 0.000 0.000 0.000
Tc: 0.500 0.500 0.000

---

Record 10
Crystalline MgTc3Br at its relaxed geometry, computed with PBE.

Computed properties:
The calculation puts the total magnetization at 10.00 μB per formula unit. For the theoretical density, the calculation gives 5518 kg/m3. For the distance to the lowest polymorph of the same formula, the calculation gives 903.2 meV/atom. As for the calculated total energy: -4.63 eV per atom. The uncorrected formation energy comes out at 2.243 eV/atom. For the calculated volume, the calculation gives 119.8 Å³ per cell.

Lattice parameters (Å, degrees): 4.930 4.930 4.930 90.00 90.00 90.00
Site moments in Bohr magnetons follow the coordinates.
Fractional coordinates of all 5 atoms:
Mg: 0.000 0.000 0.000  -0.03
Tc: 0.000 0.500 0.000  2.95
Tc: 0.000 0.000 0.500  2.87
Tc: 0.500 0.000 0.000  2.76
Br: 0.500 0.500 0.500  0.19

---

Record 11
Crystalline MgTcBr2 at its relaxed geometry, computed with PBE.

Computed properties:
The calculation puts the total magnetization at 2.86 μB per formula unit. For the theoretical density, the calculation gives 5089 kg/m3. For the distance to the lowest polymorph of the same formula, the calculation gives 551.0 meV/atom. As for the calculated total energy: -3.43 eV per atom. The uncorrected formation energy comes out at 0.394 eV/atom. For the calculated volume, the calculation gives 92.1 Å³ per cell.

Lattice parameters (Å, degrees): 6.693 6.693 6.693 146.27 146.27 48.44
Site moments in Bohr magnetons follow the coordinates.
Fractional coordinates of all 4 atoms:
Br: 0.000 0.000 0.000  0.00
Br: 0.250 0.750 0.500  0.05
Mg: 0.500 0.500 0.000  -0.04
Tc: 0.750 0.250 0.500  2.64

---

Record 12
Crystalline MgTcBr2 at its relaxed geometry, computed with PBE.

Computed properties:
The calculation puts the total magnetization at 0.62 μB per formula unit. For the theoretical density, the calculation gives 4495 kg/m3. For the distance to the lowest polymorph of the same formula, the calculation gives 0.0 meV/atom. As for the calculated total energy: -3.98 eV per atom. The uncorrected formation energy comes out at -0.157 eV/atom. For the calculated volume, the calculation gives 104.2 Å³ per cell.

Lattice parameters (Å, degrees): 8.523 8.523 3.785 101.92 101.92 22.82
Site moments in Bohr magnetons follow the coordinates.
Fractional coordinates of all 4 atoms:
Br: 0.005 0.005 0.870  0.00
Br: 0.235 0.235 0.622  0.04
Mg: 0.414 0.414 0.286  -0.01
Tc: 0.846 0.846 0.723  0.54